LaGaSe3 | PBE-GGA | optimized geometry

Geometry as POSCAR:
```
LaGaSe3
1.0
-4.323 3.828 -0.386
-3.609 -4.236 -1.589
-1.334 -0.946 5.551
Ga Se La
1 3 1
Direct
0.500 0.500 0.500 Ga
0.000 0.500 0.000 Se
0.000 0.000 0.500 Se
0.500 0.000 0.000 Se
0.000 0.000 0.000 La
```

Properties
Energy relative to the elements, uncorrected, eV per atom: -0.45
Energy, eV/cell: -20.6
N(E_F), states/eV/f.u.: 9.35
Space-group type: Pm-3m (221)